{
  "formula": "Ca2MgCu4",
  "functional": "PBE",
  "state": "optimized geometry",
  "energy_ev_per_atom": -2.8272,
  "formation_enthalpy_0k_kj_per_mol_atoms": 30.22,
  "volume_a3_per_atom": 23.39,
  "total_magnetization_mub_per_fu": 0.00,
  "dos_at_fermi_per_ev_atom": 0.4541,
  "lattice_angstrom": [[4.688, 0.000, 0.000], [0.000, 4.688, 0.000], [0.000, 0.000, 14.898]],
  "species": ["Ca", "Ca", "Ca", "Ca", "Mg", "Mg", "Cu", "Cu", "Cu", "Cu", "Cu", "Cu", "Cu", "Cu"],
  "fractional_positions": [[0.000, 0.000, 0.136], [0.000, 0.000, 0.864], [0.500, 0.500, 0.364], [0.500, 0.500, 0.636], [0.000, 0.000, 0.500], [0.500, 0.500, 0.000], [0.000, 0.000, 0.333], [0.000, 0.000, 0.667], [0.000, 0.500, 0.000], [0.000, 0.500, 0.500], [0.500, 0.000, 0.000], [0.500, 0.000, 0.500], [0.500, 0.500, 0.167], [0.500, 0.500, 0.833]]
}